First-principles (PBE-GGA) data for CrTeAuN2 after structural relaxation, as listed in Alexandria via LeMat-Bulk.

SG: P4/mmm (123)
Density of states at the Fermi level (states/eV/f.u.): 1.7
Uncorrected formation energy (meV per atom): 563

a = 3.7975 Å, b = 3.7975 Å, c = 5.8361 Å
α = 90.00°, β = 90.00°, γ = 90.00°
Each line ends with the local moment (μB).
Positions (direct):
1 Te 0.0000 0.0000 0.5000  0.09
2 Au 0.5000 0.5000 0.5000  0.03
3 Cr 0.0000 0.0000 0.0000  -1.67
4 N 0.0000 0.5000 0.0000  0.71
5 N 0.5000 0.0000 0.0000  0.71

***

First-principles (PBE-GGA) data for CePuZrSn after structural relaxation, as listed in Alexandria via LeMat-Bulk.

SG: F-43m (216)
Calculated formation energy (eV per atom): -0.162
Density of states at the Fermi level (states/eV/f.u.): 8.0

a = 5.1706 Å, b = 5.1706 Å, c = 5.1706 Å
α = 60.00°, β = 60.00°, γ = 60.00°
Each line ends with the local moment (μB).
Positions (direct):
1 Sn 0.0000 0.0000 0.0000  -0.02
2 Zr 0.2500 0.2500 0.2500  -0.09
3 Pu 0.7500 0.7500 0.7500  5.39
4 Ce 0.5000 0.5000 0.5000  0.78

***

First-principles (PBE-GGA) data for CsTiBiS4 after structural relaxation, as listed in Alexandria via LeMat-Bulk.

SG: P2_1/m (11)
Density of states at the Fermi level (states/eV/f.u.): 0.0
Uncorrected formation energy (meV per atom): -983

a = 6.7384 Å, b = 7.1208 Å, c = 9.5482 Å
α = 90.00°, β = 108.27°, γ = 90.00°
Positions (direct):
1 Ti 0.7656 0.2500 0.6595
2 Ti 0.2344 0.7500 0.3405
3 Bi 0.7791 0.7500 0.4493
4 Bi 0.2209 0.2500 0.5507
5 S 0.4519 0.7500 0.5707
6 S 0.0046 0.5036 0.3087
7 S 0.4331 0.7500 0.1880
8 S 0.9954 0.4964 0.6913
9 S 0.5481 0.2500 0.4293
10 S 0.0046 0.9964 0.3087
11 S 0.5669 0.2500 0.8120
12 S 0.9954 0.0036 0.6913
13 Cs 0.2667 0.2500 0.0615
14 Cs 0.7333 0.7500 0.9385

***

First-principles (PBE-GGA) data for Er2TeO3 after structural relaxation, as listed in Alexandria via LeMat-Bulk.

SG: C2/m (12)
Density of states at the Fermi level (states/eV/f.u.): 0.9
Uncorrected formation energy (meV per atom): -2803

a = 3.8196 Å, b = 6.5158 Å, c = 9.5592 Å
α = 114.10°, β = 90.00°, γ = 107.04°
Positions (direct):
1 Er 0.5237 0.0474 0.7666
2 Er 0.8412 0.6824 0.4413
3 Er 0.4763 0.9526 0.2334
4 Er 0.1588 0.3176 0.5587
5 O 0.6549 0.3099 0.4201
6 O 0.6982 0.3963 0.7341
7 O 0.3018 0.6037 0.2659
8 O 0.0192 0.0385 0.6532
9 O 0.9808 0.9615 0.3468
10 O 0.3451 0.6901 0.5799
11 Te 0.8657 0.7314 0.9230
12 Te 0.1343 0.2686 0.0770